Compound: SrPr2Mn3O9
Source: Alexandria via LeMat-Bulk
Functional: GGA+U
Structure: relaxed

Output
D(E_F) ... 2.34 states/eV per cell
Magnetization ... 22.00 μB per cell
Raw total energy ... -7.608 eV/atom

a b c (Å): 5.5667 5.5667 13.4182
angles (deg): 89.93 89.93 60.32
Site moments in Bohr magnetons follow the coordinates.
Sites, in units of the cell vectors:
O  0.9374  0.0626  0.2500  -0.07
O  0.0626  0.9374  0.7500  -0.07
O  0.6172  0.1483  0.4279  -0.06
O  0.2580  0.4039  0.5797  -0.06
O  0.1712  0.7222  0.4140  -0.06
O  0.8288  0.2778  0.5860  -0.06
O  0.5258  0.0236  0.7397  -0.06
O  0.0236  0.5258  0.2397  -0.06
O  0.4742  0.9764  0.2603  -0.06
O  0.2778  0.8288  0.0860  -0.06
O  0.9764  0.4742  0.7603  -0.06
O  0.7222  0.1712  0.9140  -0.06
O  0.1483  0.6172  0.9279  -0.06
O  0.7420  0.5961  0.4203  -0.06
O  0.4039  0.2580  0.0797  -0.06
O  0.5961  0.7420  0.9203  -0.06
O  0.3828  0.8517  0.5721  -0.06
O  0.8517  0.3828  0.0721  -0.06
Sr  0.4909  0.5091  0.2500  0.01
Sr  0.5091  0.4909  0.7500  0.01
Mn  0.1625  0.1708  0.1675  3.77
Mn  0.5000  0.5000  0.5000  3.73
Mn  0.1708  0.1625  0.6675  3.77
Mn  0.8375  0.8292  0.8325  3.77
Mn  0.8292  0.8375  0.3325  3.77
Mn  0.5000  0.5000  0.0000  3.73
Pr  0.8296  0.8379  0.5829  0.02
Pr  0.1621  0.1704  0.9171  0.02
Pr  0.8379  0.8296  0.0829  0.02
Pr  0.1704  0.1621  0.4171  0.02